First-principles (PBE) data for a relaxed Ac2TlV crystal, as listed in the Alexandria database.

Calculated values
SG: No. 166

Cell lengths 3.673, 3.673, 35.237 Å; angles 90.00, 90.00, 120.00 degrees
Fractional positions:
Ac (0.000, 0.000, 0.085)
Ac (0.000, 0.000, 0.915)
Ac (0.333, 0.667, 0.581)
Ac (0.333, 0.667, 0.752)
Ac (0.667, 0.333, 0.248)
Ac (0.667, 0.333, 0.419)
Tl (0.000, 0.000, 0.500)
Tl (0.333, 0.667, 0.167)
Tl (0.667, 0.333, 0.833)
V (0.000, 0.000, 0.000)
V (0.333, 0.667, 0.667)
V (0.667, 0.333, 0.333)

***

First-principles (PBE) data for a relaxed Ac2Y3Tl4 crystal, as listed in the Alexandria database.

Calculated values
SG: No. 14
Energy above the lowest structure with this stoichiometry in meV per atom: 0.0

Cell lengths 8.605, 8.565, 8.296 Å; angles 90.00, 108.49, 90.00 degrees
Fractional positions:
Ac (0.191, 0.178, 0.067)
Ac (0.191, 0.322, 0.567)
Ac (0.809, 0.678, 0.433)
Ac (0.809, 0.822, 0.933)
Y (0.249, 0.666, 0.249)
Y (0.249, 0.834, 0.749)
Y (0.500, 0.000, 0.500)
Y (0.500, 0.500, 0.000)
Y (0.751, 0.166, 0.251)
Y (0.751, 0.334, 0.751)
Tl (0.083, 0.541, 0.857)
Tl (0.083, 0.959, 0.357)
Tl (0.500, 0.128, 0.866)
Tl (0.500, 0.372, 0.366)
Tl (0.500, 0.628, 0.634)
Tl (0.500, 0.872, 0.134)
Tl (0.917, 0.041, 0.643)
Tl (0.917, 0.459, 0.143)

***

First-principles (PBE) data for a relaxed Ac2Y3Tl4 crystal, as listed in the Alexandria database.

Calculated values
SG: No. 64
Energy above the lowest structure with this stoichiometry in meV per atom: 96.9

Cell lengths 9.400, 9.400, 9.270 Å; angles 90.00, 90.00, 134.22 degrees
Fractional positions:
Ac (0.111, 0.889, 0.920)
Ac (0.389, 0.611, 0.420)
Ac (0.611, 0.389, 0.580)
Ac (0.889, 0.111, 0.080)
Y (0.000, 0.000, 0.500)
Y (0.036, 0.464, 0.750)
Y (0.464, 0.036, 0.250)
Y (0.500, 0.500, 0.000)
Y (0.536, 0.964, 0.750)
Y (0.964, 0.536, 0.250)
Tl (0.185, 0.815, 0.542)
Tl (0.213, 0.287, 0.750)
Tl (0.287, 0.213, 0.250)
Tl (0.315, 0.685, 0.042)
Tl (0.685, 0.315, 0.958)
Tl (0.713, 0.787, 0.750)
Tl (0.787, 0.713, 0.250)
Tl (0.815, 0.185, 0.458)

***

First-principles (PBE) data for a relaxed AcYTl crystal, as listed in the Alexandria database.

Calculated values
SG: No. 216
Energy above the lowest structure with this stoichiometry in meV per atom: 240.9

Cell lengths 7.716, 7.716, 7.716 Å; angles 90.00, 90.00, 90.00 degrees
Fractional positions:
Ac (0.000, 0.000, 0.000)
Ac (0.000, 0.500, 0.500)
Ac (0.500, 0.000, 0.500)
Ac (0.500, 0.500, 0.000)
Y (0.000, 0.000, 0.500)
Y (0.000, 0.500, 0.000)
Y (0.500, 0.000, 0.000)
Y (0.500, 0.500, 0.500)
Tl (0.250, 0.250, 0.750)
Tl (0.250, 0.750, 0.250)
Tl (0.750, 0.250, 0.250)
Tl (0.750, 0.750, 0.750)

***

Let's list VASP energy in order: -4.270 -4.515 -4.418 -4.343 eV per atom.